Record 1
Crystalline CaCd4Sn at its relaxed geometry, computed with GGA-PBE.

Calculated values
calculated volume	28.087	Å³/atom
energy above the most stable polymorph in this dataset	124.1	meV/atom
density	6.0	g/cm³
formation enthalpy at 0 K	-0.048	eV per atom
space group	Cmcm (63)

abc: 4.990 7.977 8.827
angles: 90.00 106.42 90.00
Element x y z (fractional)
Cd: 0.229 0.422 0.458
Cd: 0.771 0.922 0.542
Cd: 0.000 0.500 0.000
Cd: 0.229 0.078 0.458
Cd: 0.771 0.578 0.542
Cd: 0.440 0.250 0.879
Cd: 0.560 0.750 0.121
Cd: 0.000 0.000 0.000
Ca: 0.376 0.750 0.751
Ca: 0.624 0.250 0.249
Sn: 0.155 0.750 0.310
Sn: 0.845 0.250 0.690

***

Record 2
Crystalline CaCd6Sn2 at its relaxed geometry, computed with GGA-PBE.

Calculated values
calculated volume	25.063	Å³/atom
energy above the most stable polymorph in this dataset	0.0	meV/atom
density	7.0	g/cm³
formation enthalpy at 0 K	-0.104	eV per atom
space group	C2/m (12)

abc: 4.725 6.863 8.151
angles: 65.10 81.80 70.19
Element x y z (fractional)
Cd: 0.177 0.829 0.670
Cd: 0.177 0.499 0.330
Cd: 0.318 0.361 0.000
Cd: 0.823 0.501 0.670
Cd: 0.682 0.639 0.000
Cd: 0.823 0.171 0.330
Ca: 0.000 0.000 0.000
Sn: 0.500 0.154 0.691
Sn: 0.500 0.846 0.309